! GdMgPt, optimized geometry, DFT GGA-PBE; values from VASP
&SYSTEM
  ibrav = 0, nat = 9, ntyp = 3
/
ATOMIC_SPECIES
Pt 195.08 Pt.upf
Mg 24.30 Mg.upf
Gd 157.25 Gd.upf
ATOMIC_POSITIONS angstrom
Pt -0.906 1.569 2.143
Mg 0.000 0.000 0.000
Gd 1.571 2.722 0.000
Pt 2.660 4.607 2.143
Pt 1.812 0.000 2.143
Mg 0.000 4.118 2.143
Gd -1.995 3.455 0.000
Mg 3.566 2.059 2.143
Gd 3.989 0.000 0.000
CELL_PARAMETERS angstrom
7.132 0.000 0.000
-3.566 6.177 0.000
0.000 0.000 4.286
! **Final energy**: -4.70 eV per atom
! **Space-group type**: P-62m, No. 189